This record from the Alexandria database describes an optimized crystal structure of Cu2WAu. The functional is PBE.

a = 9.1752 Å, b = 2.6995 Å, c = 4.8082 Å
α = 90.00°, β = 100.33°, γ = 90.00°
Space group Cm (No. 8)
Inequivalent atoms, fractional coordinates:
Cu1 0.0000 0.0000 0.0000 [2 per cell]
Cu2 0.2390 0.5000 0.2408 [2 per cell]
W1 0.2515 0.0000 0.7590 [2 per cell]
Au1 0.4950 0.0000 0.4956 [2 per cell]

Values from the calculation:
**E**: -5.746 eV per atom
**ΔH_f (0 K)**: 8.3 kcal/mol of atoms
**DOS at the Fermi energy**: 0.5139 states/eV per atom
**ΔE to the lowest computed polymorph**: 165 meV/atom

This record from the Alexandria database describes an optimized crystal structure of BiPPb2. The functional is PBE.

a = 3.9723 Å, b = 3.9723 Å, c = 26.0121 Å
α = 90.00°, β = 90.00°, γ = 120.00°
Space group R3m (No. 160, hexagonal axes)
Inequivalent atoms, fractional coordinates:
Bi1 0.0000 0.0000 0.0000 [3 per cell]
P1 0.0000 0.0000 0.1678 [3 per cell]
Pb1 0.0000 0.0000 0.5680 [3 per cell]
Pb2 0.0000 0.0000 0.7701 [3 per cell]

Values from the calculation:
**E**: -4.047 eV per atom
**ΔH_f (0 K)**: 3.0 kcal/mol of atoms
**DOS at the Fermi energy**: 0.6068 states/eV per atom
**ΔE to the lowest computed polymorph**: 8 meV/atom

This record from the Alexandria database describes an optimized crystal structure of KInBiS3. The functional is PBE.

a = 8.5950 Å, b = 4.6238 Å, c = 9.7845 Å
α = 90.00°, β = 100.35°, γ = 90.00°
Space group P2_1/m (No. 11)
Inequivalent atoms, fractional coordinates:
K1 0.1706 0.2500 0.1963 [2 per cell]
In1 0.1244 0.2500 0.5895 [2 per cell]
Bi1 0.3518 0.7500 0.8647 [2 per cell]
S1 0.1411 0.2500 0.8525 [2 per cell]
S2 0.1920 0.7500 0.5010 [2 per cell]
S3 0.4219 0.7500 0.1310 [2 per cell]

Values from the calculation:
**Raw formation energy**: -3.4 eV per formula unit
**E**: -3.924 eV per atom
**DOS at the Fermi energy**: 0.2558 states/eV per atom

This record from the Alexandria database describes an optimized crystal structure of Ac2PuIn3Te6. The functional is PBE.

a = 21.0700 Å, b = 4.6803 Å, c = 9.7389 Å
α = 90.00°, β = 106.27°, γ = 90.00°
Space group C2/m (No. 12)
Inequivalent atoms, fractional coordinates:
Ac1 0.1638 0.0000 0.3306 [4 per cell]
Pu1 0.0000 0.5000 0.0000 [2 per cell]
In1 0.0000 0.5000 0.5000 [2 per cell]
In2 0.1668 0.0000 0.8382 [4 per cell]
Te1 0.0007 0.0000 0.7778 [4 per cell]
Te2 0.1569 0.5000 0.0856 [4 per cell]
Te3 0.1707 0.5000 0.5778 [4 per cell]

Values from the calculation:
**Raw formation energy**: -11.1 eV per formula unit
**E**: -5.056 eV per atom
**DOS at the Fermi energy**: 1.1783 states/eV per atom

This record from the Alexandria database describes an optimized crystal structure of DyMg2In2. The functional is PBE.

a = 5.1150 Å, b = 5.1150 Å, c = 12.1144 Å
α = 90.00°, β = 90.00°, γ = 120.00°
Space group P6_3/mmc (No. 194)
Inequivalent atoms, fractional coordinates:
Dy1 0.0000 0.0000 0.2500 [2 per cell]
Mg1 0.3333 0.6667 0.1045 [4 per cell]
In1 0.0000 0.0000 0.0000 [2 per cell]
In2 0.3333 0.6667 0.7500 [2 per cell]

Values from the calculation:
**E**: -2.715 eV per atom
**ΔH_f (0 K)**: -1.4 kcal/mol of atoms
**DOS at the Fermi energy**: 0.5817 states/eV per atom
**ΔE to the lowest computed polymorph**: 147 meV/atom

This record from the Alexandria database describes an optimized crystal structure of CaAs6. The functional is PBE.

a = 7.3747 Å, b = 7.3747 Å, c = 7.3747 Å
α = 90.00°, β = 90.00°, γ = 90.00°
Space group Im-3m (No. 229)
Inequivalent atoms, fractional coordinates:
Ca1 0.0000 0.0000 0.0000 [2 per cell]
As1 0.0000 0.2500 0.5000 [12 per cell]

Values from the calculation:
**E**: -4.090 eV per atom
**ΔH_f (0 K)**: 4.2 kcal/mol of atoms
**DOS at the Fermi energy**: 0.6522 states/eV per atom